## LaU2Os3 (PBE)

Data for crystalline LaU2Os3 at its relaxed geometry.

The structure in extended XYZ format:
```
12
Lattice="5.5362 0.0000 0.0000 0.0000 7.0258 -1.3441 0.0000 0.0947 7.1526" Properties=species:S:1:pos:R:3 pbc="T T T"
La 1.3840 2.0082 1.6382
La 4.1521 5.1123 4.1703
U 2.7681 5.5327 0.4863
U 0.0000 5.5327 0.4863
U 0.0000 1.5878 5.3222
U 2.7681 1.5878 5.3222
Os 4.1521 3.2395 -0.3130
Os 4.1521 0.3442 3.2364
Os 1.3840 3.8809 6.1215
Os 4.1521 0.3972 0.3240
Os 1.3840 6.7233 5.4845
Os 1.3840 6.7763 2.5721
```

Output
The calculation puts the calculated formation energy at 0.17 eV per atom. The calculated volume comes out at 23.24 A^3/atom. The calculation puts the total energy at -10.033 eV per atom. As for the theoretical density: 14.12 g cm⁻³.